DFT (PBE) results for a relaxed TlZnO2 crystal.

Unit cell a=3.2015 b=3.2015 c=19.0816 alpha=90.00 beta=90.00 gamma=120.00
Space group R-3m (No. 166, hexagonal axes)
Asymmetric unit:
Tl1 0.0000 0.0000 0.0000
Zn1 0.0000 0.0000 0.5000
O1 0.0000 0.0000 0.1125

Summary:
formation energy without anion corrections: -0.6474 eV per atom
energy above the lowest structure with this stoichiometry: 1.146 eV per formula unit
DFT total energy: -4.04 eV per atom
M_tot: 0.00 Bohr magnetons per cell